Entry from the Alexandria database: a PBEsol-optimized structure of BeCd2Br (meta-GGA SCAN).

As for the crystal system: orthorhombic. For the final energy, the calculation gives -0.7709 Ha/atom. The formation energy from raw total energies is 0.18 eV per atom. The space group is Cmmm (65).

Cell lengths 3.281, 3.281, 7.758 Å; angles 90.00, 90.00, 106.98 degrees
Fractional positions:
Cd 0.000 0.000 0.286
Br 0.500 0.500 0.000
Cd 0.000 0.000 0.714
Be 0.500 0.500 0.500

Entry from the Alexandria database: a PBEsol-optimized structure of Cd2HgOs (meta-GGA SCAN).

As for the crystal system: tetragonal. For the final energy, the calculation gives -1.8244 Ha/atom. The space group is I4/mmm (139). The formation energy comes out at 2.30 eV per formula unit.

Cell lengths 4.046, 4.046, 5.238 Å; angles 112.72, 112.72, 90.00 degrees
Fractional positions:
Hg 0.500 0.500 0.000
Cd 0.250 0.750 0.500
Cd 0.750 0.250 0.500
Os 0.000 0.000 0.000

Entry from the Alexandria database: a PBEsol-optimized structure of ScNiIN2 (meta-GGA SCAN).

As for the crystal system: tetragonal. For the final energy, the calculation gives -0.5961 Ha/atom. The formation energy from raw total energies is 0.93 eV per atom. The space group is P4/mmm (123).

Cell lengths 3.918, 3.918, 6.035 Å; angles 90.00, 90.00, 90.00 degrees
Fractional positions:
I 0.500 0.500 0.500
N 0.000 0.500 0.000
Sc 0.000 0.000 0.000
Ni 0.000 0.000 0.500
N 0.500 0.000 0.000

Entry from the Alexandria database: a PBEsol-optimized structure of LiIn2Ag (meta-GGA SCAN).

As for the crystal system: tetragonal. For the final energy, the calculation gives -0.9300 Ha/atom. The space group is I-4m2 (119). The formation energy comes out at -0.70 eV per formula unit.

Cell lengths 4.250, 4.250, 5.252 Å; angles 113.86, 113.86, 90.00 degrees
Fractional positions:
Ag 0.250 0.750 0.500
In 0.500 0.500 0.000
Li 0.000 0.000 0.000
In 0.750 0.250 0.500

Entry from the Alexandria database: a PBEsol-optimized structure of BaTcPt2 (meta-GGA SCAN).

As for the crystal system: cubic. The calculation puts the polymorph energy (0 for the lowest one) at 433 meV/atom. For the final energy, the calculation gives -1.9536 Ha/atom. The space group is F-43m (216). The formation energy comes out at 2.35 eV per formula unit.

Cell lengths 4.767, 4.767, 4.767 Å; angles 60.00, 60.00, 60.00 degrees
Fractional positions:
Pt 0.750 0.750 0.750
Tc 0.250 0.250 0.250
Pt 0.000 0.000 0.000
Ba 0.500 0.500 0.500

Entry from the Alexandria database: a PBEsol-optimized structure of Ba2LiAu (meta-GGA SCAN).

As for the crystal system: orthorhombic. The calculation puts the polymorph energy (0 for the lowest one) at 0 meV/atom. For the final energy, the calculation gives -1.4010 Ha/atom. The space group is Amm2 (38). The formation energy comes out at -1.85 eV per formula unit.

Cell lengths 4.695, 4.713, 6.735 Å; angles 110.48, 90.00, 90.00 degrees
Fractional positions:
Ba 0.000 0.109 0.219
Au 0.500 0.694 0.387
Li 0.000 0.799 0.598
Ba 0.500 0.392 0.784

Entry from the Alexandria database: a PBEsol-optimized structure of TcSb3Ir (meta-GGA SCAN).

As for the crystal system: cubic. For the final energy, the calculation gives -1.5605 Ha/atom. The formation energy from raw total energies is 1.12 eV per atom. The space group is Pm-3m (221).

Cell lengths 5.062, 5.062, 5.062 Å; angles 90.00, 90.00, 90.00 degrees
Fractional positions:
Tc 0.500 0.500 0.500
Sb 0.500 0.000 0.000
Ir 0.000 0.000 0.000
Sb 0.000 0.500 0.000
Sb 0.000 0.000 0.500

Entry from the Alexandria database: a PBEsol-optimized structure of TaHg2Rh (meta-GGA SCAN).

As for the crystal system: orthorhombic. The calculation puts the polymorph energy (0 for the lowest one) at 0 meV/atom. For the final energy, the calculation gives -2.1649 Ha/atom. The space group is Immm (71). The formation energy comes out at 1.05 eV per formula unit.

Cell lengths 2.894, 4.977, 5.709 Å; angles 115.84, 104.68, 90.00 degrees
Fractional positions:
Ta 0.000 0.500 0.000
Hg 0.760 0.760 0.521
Rh 0.500 0.000 0.000
Hg 0.240 0.240 0.479

Entry from the Alexandria database: a PBEsol-optimized structure of La2TaFe (meta-GGA SCAN).

As for the crystal system: cubic. The calculation puts the polymorph energy (0 for the lowest one) at 0 meV/atom. For the final energy, the calculation gives -1.5457 Ha/atom. The space group is F-43m (216). The formation energy comes out at 2.69 eV per formula unit.

Cell lengths 4.903, 4.903, 4.903 Å; angles 60.00, 60.00, 60.00 degrees
Fractional positions:
Fe 0.500 0.500 0.500
La 0.750 0.750 0.750
La 0.000 0.000 0.000
Ta 0.250 0.250 0.250

Entry from the Alexandria database: a PBEsol-optimized structure of Sr2Hf2Tl (meta-GGA SCAN).

As for the crystal system: tetragonal. For the final energy, the calculation gives -1.7453 Ha/atom. The space group is I4/mmm (139). The formation energy comes out at 4.79 eV per formula unit.

Cell lengths 4.364, 4.364, 8.359 Å; angles 105.13, 105.13, 90.00 degrees
Fractional positions:
Hf 0.579 0.579 0.157
Hf 0.421 0.421 0.843
Sr 0.250 0.750 0.500
Tl 0.000 0.000 0.000
Sr 0.750 0.250 0.500

Entry from the Alexandria database: a PBEsol-optimized structure of MgCo2Sb (meta-GGA SCAN).

As for the crystal system: tetragonal. For the final energy, the calculation gives -0.7004 Ha/atom. The formation energy from raw total energies is 0.15 eV per atom. The space group is P4/mmm (123).

Cell lengths 3.122, 3.122, 5.832 Å; angles 90.00, 90.00, 90.00 degrees
Fractional positions:
Mg 0.500 0.500 0.000
Co 0.000 0.000 0.270
Co 0.000 0.000 0.730
Sb 0.500 0.500 0.500

Entry from the Alexandria database: a PBEsol-optimized structure of BaTlSCl2 (meta-GGA SCAN).

As for the crystal system: tetragonal. The calculation puts the polymorph energy (0 for the lowest one) at 197 meV/atom. For the final energy, the calculation gives -1.0551 Ha/atom. The formation energy from raw total energies is -1.21 eV per atom. The space group is P4/mmm (123).

Cell lengths 5.854, 5.854, 5.889 Å; angles 90.00, 90.00, 90.00 degrees
Fractional positions:
Tl 0.500 0.500 0.500
Cl 0.500 0.000 0.000
S 0.000 0.000 0.500
Cl 0.000 0.500 0.000
Ba 0.000 0.000 0.000

Entry from the Alexandria database: a PBEsol-optimized structure of Te2SeICl (meta-GGA SCAN).

As for the crystal system: tetragonal. For the final energy, the calculation gives -1.0051 Ha/atom. The formation energy from raw total energies is 0.51 eV per atom. The space group is P4/mmm (123).

Cell lengths 5.444, 5.444, 5.466 Å; angles 90.00, 90.00, 90.00 degrees
Fractional positions:
Te 0.000 0.500 0.000
I 0.000 0.000 0.500
Se 0.000 0.000 0.000
Te 0.500 0.000 0.000
Cl 0.500 0.500 0.500

Entry from the Alexandria database: a PBEsol-optimized structure of HfZnSe2 (meta-GGA SCAN).

As for the crystal system: trigonal. For the final energy, the calculation gives -1.0981 Ha/atom. The formation energy from raw total energies is -0.80 eV per atom. The space group is R-3m (166).

Cell lengths 3.594, 3.594, 8.715 Å; angles 78.10, 78.10, 60.00 degrees
Fractional positions:
Hf 0.500 0.500 0.500
Se 0.898 0.898 0.307
Zn 0.000 0.000 0.000
Se 0.102 0.102 0.693

Entry from the Alexandria database: a PBEsol-optimized structure of SrTlN2O (meta-GGA SCAN).

As for the crystal system: tetragonal. For the final energy, the calculation gives -0.8482 Ha/atom. The formation energy from raw total energies is 0.81 eV per atom. The space group is P4/mmm (123).

Cell lengths 4.524, 4.934, 4.934 Å; angles 90.00, 90.00, 90.00 degrees
Fractional positions:
Tl 0.500 0.500 0.500
N 0.000 0.000 0.500
O 0.500 0.000 0.000
Sr 0.000 0.000 0.000
N 0.000 0.500 0.000

Entry from the Alexandria database: a PBEsol-optimized structure of ScGa2FeHg (meta-GGA SCAN).

As for the crystal system: tetragonal. For the final energy, the calculation gives -0.9490 Ha/atom. The space group is P4/mmm (123). The formation energy comes out at 4.11 eV per formula unit.

Cell lengths 4.833, 4.833, 5.330 Å; angles 90.00, 90.00, 90.00 degrees
Fractional positions:
Ga 0.000 0.500 0.000
Ga 0.500 0.000 0.000
Fe 0.500 0.500 0.500
Hg 0.000 0.000 0.000
Sc 0.000 0.000 0.500

Entry from the Alexandria database: a PBEsol-optimized structure of CsNaRe3 (meta-GGA SCAN).

As for the crystal system: cubic. For the final energy, the calculation gives -1.7279 Ha/atom. The space group is Pm-3m (221). The formation energy comes out at 20.23 eV per formula unit.

Cell lengths 4.923, 4.923, 4.923 Å; angles 90.00, 90.00, 90.00 degrees
Fractional positions:
Re 0.000 0.000 0.500
Re 0.000 0.500 0.000
Na 0.500 0.500 0.500
Re 0.500 0.000 0.000
Cs 0.000 0.000 0.000

Entry from the Alexandria database: a PBEsol-optimized structure of TcPAu2 (meta-GGA SCAN).

As for the crystal system: orthorhombic. For the final energy, the calculation gives -1.6780 Ha/atom. The space group is Imm2 (44). The formation energy comes out at 1.13 eV per formula unit.

Cell lengths 3.026, 4.354, 5.454 Å; angles 113.52, 106.10, 90.00 degrees
Fractional positions:
Au 0.015 0.015 0.030
P 0.472 0.472 0.943
Tc 0.792 0.292 0.584
Au 0.221 0.721 0.443

Entry from the Alexandria database: a PBEsol-optimized structure of Li8HfO6 (meta-GGA SCAN).

As for the crystal system: hexagonal. The calculation puts the polymorph energy (0 for the lowest one) at 78 meV/atom. For the final energy, the calculation gives -0.3792 Ha/atom. The formation energy from raw total energies is -2.37 eV per atom. The space group is P6_3cm (185).

Cell lengths 5.632, 5.632, 10.749 Å; angles 90.00, 90.00, 120.00 degrees
Fractional positions:
Hf 0.000 0.000 0.003
O 0.331 0.000 0.551
O 0.331 0.331 0.051
O 0.000 0.331 0.551
Li 0.333 0.667 0.595
Li 0.000 0.417 0.374
O 0.667 0.333 0.286
Li 0.316 0.000 0.731
Li 0.316 0.316 0.231
O 0.667 0.333 0.786
O 0.333 0.667 0.786
O 0.000 0.000 0.820
Li 0.684 0.684 0.731
Li 0.583 0.583 0.374
Li 0.667 0.333 0.095
O 0.333 0.667 0.286
Li 0.417 0.417 0.874
O 0.669 0.000 0.051
Li 0.684 0.000 0.231
Li 0.667 0.333 0.595
Li 0.000 0.583 0.874
O 0.669 0.669 0.551
Li 0.583 0.000 0.874
Hf 0.000 0.000 0.503
Li 0.417 0.000 0.374
Li 0.333 0.667 0.095
O 0.000 0.669 0.051
O 0.000 0.000 0.320
Li 0.000 0.316 0.731
Li 0.000 0.684 0.231

Entry from the Alexandria database: a PBEsol-optimized structure of Sr2SCl (meta-GGA SCAN).

As for the crystal system: cubic. The calculation puts the polymorph energy (0 for the lowest one) at 42 meV/atom. For the final energy, the calculation gives -0.6394 Ha/atom. The formation energy from raw total energies is -1.86 eV per atom. The space group is Fm-3m (225).

Cell lengths 5.087, 5.087, 5.087 Å; angles 60.00, 60.00, 60.00 degrees
Fractional positions:
S 0.000 0.000 0.000
Cl 0.500 0.500 0.500
Sr 0.250 0.250 0.250
Sr 0.750 0.750 0.750

Entry from the Alexandria database: a PBEsol-optimized structure of LiYFe2 (meta-GGA SCAN).

As for the crystal system: trigonal. The calculation puts the polymorph energy (0 for the lowest one) at 221 meV/atom. For the final energy, the calculation gives -0.5941 Ha/atom. The space group is R3m (160). The formation energy comes out at 1.82 eV per formula unit.

Cell lengths 3.010, 3.010, 9.048 Å; angles 80.43, 80.43, 60.00 degrees
Fractional positions:
Fe 0.013 0.013 0.960
Li 0.486 0.486 0.543
Y 0.261 0.261 0.218
Fe 0.740 0.740 0.780

Entry from the Alexandria database: a PBEsol-optimized structure of Mg5Tl (meta-GGA SCAN).

As for the crystal system: hexagonal. The calculation puts the polymorph energy (0 for the lowest one) at 0 meV/atom. For the final energy, the calculation gives -0.5983 Ha/atom. The space group is P-62m (189). The formation energy comes out at -0.45 eV per formula unit.

Cell lengths 5.066, 5.572, 5.572 Å; angles 120.00, 90.00, 90.00 degrees
Fractional positions:
Mg 0.000 0.667 0.000
Mg 0.000 0.333 0.333
Mg 0.500 0.667 0.333
Mg 0.000 0.000 0.667
Tl 0.500 0.000 0.000
Mg 0.500 0.333 0.667

Entry from the Alexandria database: a PBEsol-optimized structure of NiMo2Br (meta-GGA SCAN).

As for the crystal system: orthorhombic. The calculation puts the polymorph energy (0 for the lowest one) at 601 meV/atom. For the final energy, the calculation gives -0.9323 Ha/atom. The formation energy from raw total energies is 0.98 eV per atom. The space group is Cmmm (65).

Cell lengths 2.863, 4.799, 4.799 Å; angles 116.25, 90.00, 90.00 degrees
Fractional positions:
Br 0.500 0.500 0.500
Mo 0.000 0.000 0.500
Ni 0.500 0.000 0.000
Mo 0.000 0.500 0.000

Entry from the Alexandria database: a PBEsol-optimized structure of CdTcPb (meta-GGA SCAN).

As for the crystal system: cubic. For the final energy, the calculation gives -1.6922 Ha/atom. The space group is F-43m (216). The formation energy comes out at 3.11 eV per formula unit.

Cell lengths 4.616, 4.616, 4.616 Å; angles 60.00, 60.00, 60.00 degrees
Fractional positions:
Tc 0.500 0.500 0.500
Cd 0.250 0.250 0.250
Pb 0.000 0.000 0.000

Entry from the Alexandria database: a PBEsol-optimized structure of Li2ReNi (meta-GGA SCAN).

As for the crystal system: orthorhombic. The calculation puts the polymorph energy (0 for the lowest one) at 2 meV/atom. For the final energy, the calculation gives -0.8340 Ha/atom. The space group is Cmmm (65). The formation energy comes out at 1.27 eV per formula unit.

Cell lengths 2.485, 4.764, 4.946 Å; angles 118.79, 90.00, 90.00 degrees
Fractional positions:
Re 0.500 0.500 0.000
Ni 0.500 0.000 0.000
Li 0.000 0.500 0.500
Li 0.000 0.000 0.500

Entry from the Alexandria database: a PBEsol-optimized structure of TcSb2Pt (meta-GGA SCAN).

As for the crystal system: orthorhombic. The calculation puts the polymorph energy (0 for the lowest one) at 121 meV/atom. For the final energy, the calculation gives -1.6421 Ha/atom. The formation energy from raw total energies is 0.26 eV per atom. The space group is Imm2 (44).

Cell lengths 3.430, 4.334, 5.742 Å; angles 112.17, 107.38, 90.00 degrees
Fractional positions:
Sb 0.238 0.738 0.475
Pt 0.735 0.235 0.469
Tc 0.527 0.527 0.053
Sb 0.001 0.001 0.002

Entry from the Alexandria database: a PBEsol-optimized structure of Tl2GaPdAu (meta-GGA SCAN).

As for the crystal system: tetragonal. For the final energy, the calculation gives -1.9165 Ha/atom. The space group is P4/mmm (123). The formation energy comes out at 2.24 eV per formula unit.

Cell lengths 4.743, 5.330, 5.330 Å; angles 90.00, 90.00, 90.00 degrees
Fractional positions:
Pd 0.500 0.500 0.500
Au 0.000 0.000 0.000
Tl 0.000 0.000 0.500
Tl 0.000 0.500 0.000
Ga 0.500 0.000 0.000

Entry from the Alexandria database: a PBEsol-optimized structure of NaSe3I (meta-GGA SCAN).

As for the crystal system: cubic. For the final energy, the calculation gives -0.7358 Ha/atom. The formation energy from raw total energies is 0.22 eV per atom. The space group is Pm-3m (221).

Cell lengths 5.402, 5.402, 5.402 Å; angles 90.00, 90.00, 90.00 degrees
Fractional positions:
I 0.000 0.000 0.000
Se 0.500 0.000 0.000
Se 0.000 0.500 0.000
Se 0.000 0.000 0.500
Na 0.500 0.500 0.500